Compound: Ni2TeRu
Source: the Alexandria database
Functional: GGA-PBE
Structure: optimized geometry

Summary:
As for the energy relative to the elements, uncorrected: 0.8 eV/f.u. The calculation puts the total moment at 0.01 μB/f.u.

Cell lengths 6.1044, 6.1044, 6.1044 Å; angles 90.00, 90.00, 90.00 degrees
With the nearest neighbours (Å) after each atom.
Space group F-43m (No. 216)
Inequivalent atoms, fractional coordinates:
1 Ni 0.0000 0.0000 0.0000 x4  4 Ru 2.64, 4 Ni 2.64
2 Ni 0.2500 0.2500 0.2500 x4  4 Te 2.64, 4 Ni 2.64
3 Te 0.0000 0.0000 0.5000 x4  4 Ni 2.64, 4 Ru 2.64
4 Ru 0.2500 0.2500 0.7500 x4  4 Te 2.64, 4 Ni 2.64